1.
First-principles (PBE) data for TaCd2BiO after structural relaxation, as listed in the Alexandria database.

As for the density: 5.50 Mg/m³. The uncorrected formation energy comes out at 1.6330 eV per atom.

The space group is P4/mmm (No. 123) and the conventional cell measures 5.870, 5.870 and 5.522 Å, with angles of 90.00, 90.00 and 90.00 degrees. The inequivalent atoms are Ta at (0.000, 0.000, 0.000), Cd at (0.000, 0.500, 0.500), Bi at (0.000, 0.000, 0.500) and O at (0.500, 0.500, 0.000).


2.
First-principles (PBE) data for NaRePd2N after structural relaxation, as listed in the Alexandria database.

As for the density: 7.52 Mg/m³. The uncorrected formation energy comes out at 0.4923 eV per atom.

The space group is P4/mmm (No. 123) and the conventional cell measures 5.037, 5.037 and 3.795 Å, with angles of 90.00, 90.00 and 90.00 degrees. The inequivalent atoms are Na at (0.000, 0.000, 0.000), Re at (0.500, 0.500, 0.500), Pd at (0.000, 0.500, 0.500) and N at (0.500, 0.500, 0.000).